Here is a geometry-optimized Rb2PaZnS5 structure from Alexandria via LeMat-Bulk. Energies are from PBE-GGA.

Space-group type: Cmc2_1, No. 36
Uncorrected formation energy: -110 kJ per mole of atoms
Size of the total moment: 0.107 μB/atom

a = 4.071 Å, b = 10.087 Å, c = 13.828 Å
α = 90.00°, β = 90.00°, γ = 101.64°
Each line ends with the local moment (μB).
Atoms (fractional coordinates):
1 S 0.493 0.986 0.301  0.39
2 S 0.067 0.134 0.028  0.07
3 S 0.703 0.407 0.143  0.03
4 S 0.691 0.383 0.889  0.03
5 S 0.507 0.014 0.801  0.39
6 S 0.670 0.341 0.505  0.06
7 S 0.297 0.593 0.643  0.03
8 S 0.330 0.659 0.005  0.06
9 S 0.309 0.617 0.389  0.03
10 S 0.933 0.866 0.528  0.07
11 Pa 0.203 0.407 0.019  -0.01
12 Pa 0.797 0.593 0.519  -0.01
13 Rb 0.884 0.768 0.180  0.00
14 Rb 0.116 0.232 0.680  0.00
15 Rb 0.128 0.256 0.322  0.00
16 Rb 0.872 0.744 0.822  0.00
17 Zn 0.571 0.141 0.936  0.01
18 Zn 0.429 0.859 0.436  0.01

Here is a geometry-optimized Li2YGa4 structure from Alexandria via LeMat-Bulk. Energies are from PBE-GGA.

Space-group type: Immm, No. 71
DFT formation energy: -0.383 eV/atom
Size of the total moment: 0.000 μB/atom

a = 4.349 Å, b = 3.423 Å, c = 9.495 Å
α = 100.39°, β = 103.24°, γ = 90.00°
Atoms (fractional coordinates):
1 Li 0.199 0.199 0.397
2 Li 0.801 0.801 0.603
3 Ga 0.348 0.348 0.697
4 Ga 0.927 0.427 0.853
5 Ga 0.652 0.652 0.303
6 Ga 0.073 0.573 0.147
7 Y 0.500 0.000 0.000

Here is a geometry-optimized Tb4Nd10Sm structure from Alexandria via LeMat-Bulk. Energies are from PBE-GGA.

Space-group type: I4/m, No. 87
DFT formation energy: 0.696 eV/atom
Size of the total moment: 0.000 μB/atom

a = 7.830 Å, b = 9.610 Å, c = 9.610 Å
α = 80.45°, β = 65.96°, γ = 65.96°
Atoms (fractional coordinates):
1 Nd 0.452 0.898 0.699
2 Nd 0.849 0.699 0.102
3 Nd 0.350 0.699 0.102
4 Nd 0.650 0.301 0.898
5 Nd 0.951 0.898 0.699
6 Nd 0.049 0.102 0.301
7 Nd 0.548 0.102 0.301
8 Nd 0.250 0.500 0.500
9 Nd 0.750 0.500 0.500
10 Nd 0.151 0.301 0.898
11 Tb 0.600 0.199 0.600
12 Tb 0.400 0.801 0.400
13 Tb 0.201 0.400 0.199
14 Tb 0.799 0.600 0.801
15 Sm 0.000 0.000 0.000

Here is a geometry-optimized TaCu3Br structure from Alexandria via LeMat-Bulk. Energies are from PBE-GGA.

Space-group type: Pm-3m, No. 221
Uncorrected formation energy: 145 kJ per mole of atoms
Polymorph energy (0 for the lowest one): 0.42 eV per formula unit
Size of the total moment: 0.314 μB/atom

a = 4.544 Å, b = 4.544 Å, c = 4.544 Å
α = 90.00°, β = 90.00°, γ = 90.00°
Each line ends with the local moment (μB).
Atoms (fractional coordinates):
1 Cu 0.000 0.000 0.500  0.04
2 Cu 0.000 0.500 0.000  0.01
3 Cu 0.500 0.000 0.000  -0.01
4 Br 0.000 0.000 0.000  0.05
5 Ta 0.500 0.500 0.500  0.98

Here is a geometry-optimized SmMg2Cd structure from Alexandria via LeMat-Bulk. Energies are from PBE-GGA.

Space-group type: R3m, No. 160
DFT formation energy: -0.008 eV/atom
Polymorph energy (0 for the lowest one): 0.86 eV per formula unit
Size of the total moment: 0.000 μB/atom

a = 3.321 Å, b = 3.321 Å, c = 10.874 Å
α = 81.22°, β = 81.22°, γ = 60.00°
Atoms (fractional coordinates):
1 Mg 0.257 0.257 0.230
2 Mg 0.076 0.076 0.771
3 Cd 0.666 0.666 0.000
4 Sm 0.501 0.501 0.498

Here is a geometry-optimized ScRhBr structure from Alexandria via LeMat-Bulk. Energies are from PBE-GGA.

Space-group type: F-43m, No. 216
Uncorrected formation energy: -25 kJ per mole of atoms
Polymorph energy (0 for the lowest one): 1.33 eV per formula unit
Size of the total moment: 0.000 μB/atom

a = 4.484 Å, b = 4.484 Å, c = 4.484 Å
α = 60.00°, β = 60.00°, γ = 60.00°
Atoms (fractional coordinates):
1 Br 0.000 0.000 0.000
2 Rh 0.500 0.500 0.500
3 Sc 0.750 0.750 0.750

Here is a geometry-optimized Tl3CdAu2 structure from Alexandria via LeMat-Bulk. Energies are from PBE-GGA.

Space-group type: Cmc2_1, No. 36
DFT formation energy: -0.012 eV/atom
Size of the total moment: 0.000 μB/atom

a = 4.658 Å, b = 8.604 Å, c = 8.604 Å
α = 106.50°, β = 90.00°, γ = 90.00°
Atoms (fractional coordinates):
1 Tl 0.493 0.639 0.126
2 Tl 0.491 0.888 0.888
3 Tl 0.993 0.361 0.874
4 Tl 0.993 0.874 0.361
5 Tl 0.991 0.112 0.112
6 Tl 0.493 0.126 0.639
7 Au 0.993 0.240 0.476
8 Au 0.493 0.760 0.524
9 Au 0.993 0.476 0.240
10 Au 0.493 0.524 0.760
11 Cd 0.493 0.390 0.390
12 Cd 0.993 0.610 0.610

Here is a geometry-optimized Sr3TcN3 structure from Alexandria via LeMat-Bulk. Energies are from PBE-GGA.

Space-group type: P6_3/m, No. 176
Uncorrected formation energy: -63 kJ per mole of atoms
Polymorph energy (0 for the lowest one): 0.04 eV per formula unit
Size of the total moment: 0.167 μB/atom

a = 5.328 Å, b = 7.877 Å, c = 7.877 Å
α = 120.00°, β = 90.00°, γ = 90.00°
Each line ends with the local moment (μB).
Atoms (fractional coordinates):
1 N 0.250 0.418 0.112  0.06
2 N 0.250 0.888 0.306  0.06
3 N 0.250 0.694 0.582  0.06
4 N 0.750 0.582 0.888  0.06
5 N 0.750 0.112 0.694  0.06
6 N 0.750 0.306 0.418  0.06
7 Sr 0.250 0.643 0.908  0.03
8 Sr 0.250 0.092 0.736  0.03
9 Sr 0.250 0.264 0.357  0.03
10 Sr 0.750 0.357 0.092  0.03
11 Sr 0.750 0.736 0.643  0.03
12 Sr 0.750 0.908 0.264  0.03
13 Tc 0.750 0.333 0.667  0.60
14 Tc 0.250 0.667 0.333  0.60

Here is a geometry-optimized Ag2Hg structure from Alexandria via LeMat-Bulk. Energies are from PBE-GGA.

Space-group type: P4/mmm, No. 123
DFT formation energy: 0.177 eV/atom
Polymorph energy (0 for the lowest one): 0.38 eV per formula unit
Size of the total moment: 0.000 μB/atom

a = 3.968 Å, b = 3.968 Å, c = 4.372 Å
α = 90.00°, β = 90.00°, γ = 90.00°
Atoms (fractional coordinates):
1 Hg 0.000 0.000 0.000
2 Ag 0.500 0.000 0.500
3 Ag 0.000 0.500 0.500

Here is a geometry-optimized Np2Tl3HgO9 structure from Alexandria via LeMat-Bulk. Energies are from PBE-GGA.

Space-group type: P-3m1, No. 164
Uncorrected formation energy: -169 kJ per mole of atoms
Size of the total moment: 0.067 μB/atom

a = 6.157 Å, b = 6.157 Å, c = 7.616 Å
α = 90.00°, β = 90.00°, γ = 120.00°
Each line ends with the local moment (μB).
Atoms (fractional coordinates):
1 O 0.181 0.361 0.308  -0.03
2 O 0.361 0.181 0.692  -0.03
3 O 0.819 0.639 0.692  -0.03
4 O 0.639 0.819 0.308  -0.03
5 O 0.500 0.500 0.000  -0.03
6 O 0.819 0.181 0.692  -0.03
7 O 0.181 0.819 0.308  -0.03
8 O 0.500 0.000 0.000  -0.03
9 O 0.000 0.500 0.000  -0.03
10 Tl 0.000 0.000 0.000  0.00
11 Tl 0.333 0.667 0.649  0.00
12 Tl 0.667 0.333 0.351  0.00
13 Np 0.667 0.333 0.841  0.65
14 Np 0.333 0.667 0.159  0.65
15 Hg 0.000 0.000 0.500  -0.01

Here is a geometry-optimized BaEr4Pb3O12 structure from Alexandria via LeMat-Bulk. Energies are from PBE-GGA.

Space-group type: Im-3, No. 204
Uncorrected formation energy: -227 kJ per mole of atoms
Size of the total moment: 0.090 μB/atom

a = 7.380 Å, b = 7.380 Å, c = 7.380 Å
α = 109.47°, β = 109.47°, γ = 109.47°
Each line ends with the local moment (μB).
Atoms (fractional coordinates):
1 O 0.122 0.304 0.818  0.09
2 O 0.513 0.696 0.818  0.09
3 O 0.878 0.696 0.182  0.09
4 O 0.818 0.122 0.304  0.09
5 O 0.304 0.182 0.487  0.09
6 O 0.696 0.818 0.513  0.09
7 O 0.487 0.304 0.182  0.09
8 O 0.818 0.513 0.696  0.09
9 O 0.696 0.182 0.878  0.09
10 O 0.304 0.818 0.122  0.09
11 O 0.182 0.487 0.304  0.09
12 O 0.182 0.878 0.696  0.09
13 Er 0.000 0.500 0.000  0.01
14 Er 0.000 0.000 0.500  0.01
15 Er 0.500 0.500 0.500  0.01
16 Er 0.500 0.000 0.000  0.01
17 Ba 0.000 0.000 0.000  0.00
18 Pb 0.500 0.000 0.500  0.12
19 Pb 0.500 0.500 0.000  0.12
20 Pb 0.000 0.500 0.500  0.12

Here is a geometry-optimized Np2CdAgO8 structure from Alexandria via LeMat-Bulk. Energies are from PBE-GGA.

Space-group type: P-3, No. 147
Uncorrected formation energy: -162 kJ per mole of atoms
Size of the total moment: 0.000 μB/atom

a = 6.096 Å, b = 6.096 Å, c = 5.735 Å
α = 90.00°, β = 90.00°, γ = 120.00°
Atoms (fractional coordinates):
1 O 0.327 0.933 0.153
2 O 0.673 0.067 0.847
3 O 0.933 0.606 0.847
4 O 0.667 0.333 0.385
5 O 0.606 0.673 0.153
6 O 0.394 0.327 0.847
7 O 0.067 0.394 0.153
8 O 0.333 0.667 0.615
9 Ag 0.000 0.000 0.000
10 Np 0.333 0.667 0.935
11 Np 0.667 0.333 0.065
12 Cd 0.000 0.000 0.500